# 1
Here is a geometry-optimized BeTcAs2Br structure from Alexandria. Energies are from PBE-GGA.

Unit cell a=4.7091 b=4.7091 c=5.4933 alpha=90.00 beta=90.00 gamma=90.00
Element x y z (fractional)
Be 0.5000 0.5000 0.5000
As 0.5000 0.0000 0.0000
As 0.0000 0.5000 0.0000
Br 0.0000 0.0000 0.5000
Tc 0.0000 0.0000 0.0000

Calculated values
V ... 121.82 Å³ per cell
Raw total energy ... -4.210 eV/atom
D(E_F) ... 2.03 states/eV/cell
Crystal system ... tetragonal
Offset from the most stable computed form ... 0 meV per atom


# 2
Here is a geometry-optimized Er3NpS4 structure from Alexandria. Energies are from PBE-GGA.

Unit cell a=3.8832 b=3.8832 c=12.7802 alpha=81.26 beta=81.26 gamma=60.00
Element x y z (fractional)
Er 0.7490 0.7490 0.7530
Er 0.2510 0.2510 0.2470
Er 0.5000 0.5000 0.5000
S 0.3755 0.3755 0.8734
S 0.8749 0.8749 0.3754
S 0.1251 0.1251 0.6246
S 0.6245 0.6245 0.1266
Np 0.0000 0.0000 0.0000

Calculated values
V ... 164.31 Å³ per cell
Raw total energy ... -7.221 eV/atom
D(E_F) ... 7.65 states/eV/cell
Crystal system ... trigonal


# 3
Here is a geometry-optimized Li3USe4 structure from Alexandria. Energies are from PBE-GGA.

Unit cell a=6.9377 b=6.7998 c=7.9365 alpha=90.00 beta=90.00 gamma=110.20
Element x y z (fractional)
U 0.2500 0.0000 0.1430
U 0.7500 0.0000 0.8570
Li 0.7500 0.0000 0.3832
Li 0.2500 0.0000 0.6168
Li 0.2500 0.5000 0.3899
Li 0.7500 0.5000 0.1380
Li 0.7500 0.5000 0.6101
Li 0.2500 0.5000 0.8620
Se 0.9999 0.7583 0.8843
Se 0.4999 0.7583 0.1157
Se 0.4924 0.2544 0.3741
Se 0.9924 0.2544 0.6259
Se 0.5001 0.2417 0.8843
Se 0.0076 0.7456 0.3741
Se 0.0001 0.2417 0.1157
Se 0.5076 0.7456 0.6259

Calculated values
V ... 351.38 Å³ per cell
Raw total energy ... -5.064 eV/atom
D(E_F) ... 7.13 states/eV/cell
Crystal system ... monoclinic
Offset from the most stable computed form ... 0 meV per atom


# 4
Here is a geometry-optimized TbPmBeAl structure from Alexandria. Energies are from PBE-GGA.

Unit cell a=5.0656 b=5.0656 c=5.0656 alpha=60.00 beta=60.00 gamma=60.00
Element x y z (fractional)
Al 0.5000 0.5000 0.5000
Be 0.0000 0.0000 0.0000
Tb 0.2500 0.2500 0.2500
Pm 0.7500 0.7500 0.7500

Calculated values
ΔH_f (0 K) ... -0.089 eV/atom
V ... 91.91 Å³ per cell
Raw total energy ... -4.302 eV/atom
D(E_F) ... 4.21 states/eV/cell
Crystal system ... cubic


# 5
Here is a geometry-optimized NpPaGa4 structure from Alexandria. Energies are from PBE-GGA.

Unit cell a=5.4744 b=5.4744 c=5.4744 alpha=60.00 beta=60.00 gamma=60.00
Element x y z (fractional)
Ga 0.6251 0.1246 0.6251
Ga 0.6251 0.6251 0.1246
Ga 0.6251 0.6251 0.6251
Ga 0.1246 0.6251 0.6251
Np 0.0000 0.0000 0.0000
Pa 0.2500 0.2500 0.2500

Calculated values
ΔH_f (0 K) ... -0.266 eV/atom
V ... 116.01 Å³ per cell
Raw total energy ... -6.023 eV/atom
D(E_F) ... 10.09 states/eV/cell
Crystal system ... cubic
Offset from the most stable computed form ... 0 meV per atom


# 6
Here is a geometry-optimized Sm2HoErBi5 structure from Alexandria. Energies are from PBE-GGA.

Unit cell a=5.4127 b=5.4127 c=11.8442 alpha=90.00 beta=90.00 gamma=90.00
Element x y z (fractional)
Sm 0.5000 0.5000 0.7260
Sm 0.5000 0.5000 0.2740
Bi 0.5000 0.0000 0.5000
Bi 0.5000 0.5000 0.0000
Bi 0.0000 0.5000 0.5000
Bi 0.0000 0.0000 0.2455
Bi 0.0000 0.0000 0.7545
Ho 0.0000 0.0000 0.5000
Er 0.0000 0.0000 0.0000

Calculated values
ΔH_f (0 K) ... -0.064 eV/atom
V ... 347.01 Å³ per cell
Raw total energy ... -4.284 eV/atom
D(E_F) ... 5.82 states/eV/cell
Crystal system ... tetragonal


# 7
Here is a geometry-optimized SmAgAu structure from Alexandria. Energies are from PBE-GGA.

Unit cell a=3.5328 b=4.7604 c=4.7604 alpha=120.00 beta=90.00 gamma=90.00
Element x y z (fractional)
Au 0.1673 0.6667 0.3333
Ag 0.1661 0.0000 0.0000
Sm 0.6666 0.3333 0.6667

Calculated values
ΔH_f (0 K) ... -0.529 eV/atom
V ... 69.33 Å³ per cell
Raw total energy ... -4.145 eV/atom
D(E_F) ... 2.02 states/eV/cell
Crystal system ... hexagonal
Offset from the most stable computed form ... 51 meV per atom


# 8
Here is a geometry-optimized TlCo3Au structure from Alexandria. Energies are from PBE-GGA.

Unit cell a=4.7560 b=4.7560 c=4.7560 alpha=90.00 beta=90.00 gamma=90.00
Element x y z (fractional)
Co 0.0000 0.0000 0.5000
Co 0.0000 0.5000 0.0000
Co 0.5000 0.0000 0.0000
Tl 0.5000 0.5000 0.5000
Au 0.0000 0.0000 0.0000

Calculated values
ΔH_f (0 K) ... 1.288 eV/atom
V ... 107.58 Å³ per cell
Raw total energy ... -4.104 eV/atom
D(E_F) ... 8.94 states/eV/cell
Crystal system ... cubic
Offset from the most stable computed form ... 0 meV per atom


# 9
Here is a geometry-optimized SrNiCl2 structure from Alexandria. Energies are from PBE-GGA.

Unit cell a=6.1631 b=6.1631 c=6.1631 alpha=141.82 beta=141.82 gamma=55.09
Element x y z (fractional)
Cl 0.2500 0.7500 0.5000
Cl 0.0000 0.0000 0.0000
Sr 0.7500 0.2500 0.5000
Ni 0.5000 0.5000 0.0000

Calculated values
V ... 88.78 Å³ per cell
Raw total energy ... -3.611 eV/atom
D(E_F) ... 2.41 states/eV/cell
Crystal system ... tetragonal
Offset from the most stable computed form ... 407 meV per atom


# 10
Here is a geometry-optimized CaMnC2 structure from Alexandria. Energies are from PBE-GGA.

Unit cell a=4.4708 b=4.4708 c=6.4458 alpha=69.71 beta=69.71 gamma=90.00
Element x y z (fractional)
Mn 0.7500 0.2500 0.5000
Mn 0.0000 0.0000 0.0000
Ca 0.2500 0.7500 0.5000
Ca 0.5000 0.5000 0.0000
C 0.8750 0.1247 0.7500
C 0.8753 0.6250 0.2500
C 0.3750 0.1253 0.7500
C 0.8747 0.1250 0.2500

Calculated values
ΔH_f (0 K) ... 0.241 eV/atom
V ... 112.28 Å³ per cell
Raw total energy ... -7.164 eV/atom
D(E_F) ... 3.99 states/eV/cell
Crystal system ... tetragonal


# 11
Here is a geometry-optimized SrLiMnCl5 structure from Alexandria. Energies are from PBE-GGA.

Unit cell a=7.5787 b=7.5787 c=10.5792 alpha=110.08 beta=110.08 gamma=90.36
Element x y z (fractional)
Cl 0.2851 0.7606 0.9485
Cl 0.8951 0.1049 0.7500
Cl 0.3433 0.2841 0.6675
Cl 0.1049 0.8951 0.2500
Cl 0.7159 0.6567 0.8325
Cl 0.2394 0.7149 0.5515
Cl 0.7606 0.2851 0.4485
Cl 0.7149 0.2394 0.0515
Cl 0.2841 0.3433 0.1675
Cl 0.6567 0.7159 0.3325
Li 0.3200 0.6800 0.2500
Li 0.6800 0.3200 0.7500
Sr 0.0000 0.0000 0.5000
Sr 0.0000 0.0000 0.0000
Mn 0.3747 0.6253 0.7500
Mn 0.6253 0.3747 0.2500

Calculated values
V ... 530.68 Å³ per cell
Raw total energy ... -4.501 eV/atom
D(E_F) ... 0.00 states/eV/cell
Crystal system ... monoclinic


# 12
Here is a geometry-optimized Mg5InHg3 structure from Alexandria. Energies are from PBE-GGA.

Unit cell a=6.2054 b=8.6118 c=8.6106 alpha=120.00 beta=90.00 gamma=90.00
Element x y z (fractional)
Mg 0.7500 0.3112 0.0000
Mg 0.5000 0.6667 0.3333
Mg 0.7500 0.6888 0.6888
Mg 0.0000 0.3333 0.6667
Mg 0.2500 0.3112 0.3112
Mg 0.5000 0.3333 0.6667
Mg 0.2500 0.6888 0.0000
Mg 0.7500 0.0000 0.3112
Mg 0.2500 0.0000 0.6888
Mg 0.0000 0.6667 0.3333
Hg 0.7500 0.3630 0.3630
Hg 0.2500 0.0000 0.3630
Hg 0.7500 0.6370 0.0000
Hg 0.7500 0.0000 0.6370
Hg 0.2500 0.6370 0.6370
Hg 0.2500 0.3630 0.0000
In 0.5000 0.0000 0.0000
In 0.0000 0.0000 0.0000

Calculated values
ΔH_f (0 K) ... -0.173 eV/atom
V ... 398.48 Å³ per cell
Raw total energy ... -1.464 eV/atom
D(E_F) ... 7.55 states/eV/cell
Crystal system ... hexagonal


# 13
Here is a geometry-optimized Rb2BaNdF8 structure from Alexandria. Energies are from PBE-GGA.

Unit cell a=6.3262 b=6.3262 c=7.5495 alpha=114.77 beta=114.77 gamma=90.00
Element x y z (fractional)
F 0.9058 0.8415 0.2686
F 0.5729 0.0942 0.7314
F 0.5729 0.6372 0.7314
F 0.9058 0.4271 0.2686
F 0.3628 0.8415 0.2686
F 0.1585 0.6372 0.7314
F 0.3628 0.4271 0.2686
F 0.1585 0.0942 0.7314
Nd 0.2500 0.7500 0.5000
Rb 0.7500 0.2500 0.5000
Rb 0.0000 0.0000 0.0000
Ba 0.5000 0.5000 0.0000

Calculated values
V ... 243.38 Å³ per cell
Raw total energy ... -5.211 eV/atom
D(E_F) ... 15.90 states/eV/cell
Crystal system ... tetragonal


# 14
Here is a geometry-optimized TaBiO2 structure from Alexandria. Energies are from PBE-GGA.

Unit cell a=7.6923 b=7.6923 c=7.6923 alpha=23.83 beta=23.83 gamma=23.83
Element x y z (fractional)
O 0.9148 0.9148 0.9148
O 0.0852 0.0852 0.0852
Ta 0.0000 0.0000 0.0000
Bi 0.5000 0.5000 0.5000

Calculated values
V ... 65.29 Å³ per cell
Raw total energy ... -7.367 eV/atom
D(E_F) ... 2.06 states/eV/cell
Crystal system ... trigonal


# 15
Here is a geometry-optimized CaMg2F4 structure from Alexandria. Energies are from PBE-GGA.

Unit cell a=4.8159 b=4.8159 c=6.4628 alpha=68.12 beta=68.12 gamma=90.00
Element x y z (fractional)
Mg 0.3751 0.3751 0.2499
Mg 0.6249 0.6249 0.7501
F 0.0000 0.5000 0.0000
F 0.2034 0.2034 0.5932
F 0.5000 0.0000 0.0000
F 0.7966 0.7966 0.4068
Ca 0.0000 0.0000 0.0000

Calculated values
V ... 127.39 Å³ per cell
Raw total energy ... -4.459 eV/atom
D(E_F) ... 0.33 states/eV/cell
Crystal system ... tetragonal


# 16
Here is a geometry-optimized Li2FeCu structure from Alexandria. Energies are from PBE-GGA.

Unit cell a=4.4677 b=4.4677 c=2.5689 alpha=90.00 beta=90.00 gamma=90.00
Element x y z (fractional)
Fe 0.0000 0.5000 0.5000
Li 0.5000 0.5000 0.0000
Li 0.0000 0.0000 0.0000
Cu 0.5000 0.0000 0.5000

Calculated values
ΔH_f (0 K) ... 0.323 eV/atom
V ... 51.28 Å³ per cell
Raw total energy ... -3.774 eV/atom
D(E_F) ... 3.90 states/eV/cell
Crystal system ... tetragonal


# 17
Here is a geometry-optimized VSiRuRh2 structure from Alexandria. Energies are from PBE-GGA.

Unit cell a=4.7308 b=4.3688 c=4.7308 alpha=90.00 beta=90.00 gamma=90.00
Element x y z (fractional)
V 0.0000 0.5000 0.0000
Rh 0.0000 0.0000 0.5000
Rh 0.5000 0.0000 0.0000
Si 0.5000 0.5000 0.5000
Ru 0.0000 0.0000 0.0000

Calculated values
V ... 97.78 Å³ per cell
Raw total energy ... -6.431 eV/atom
D(E_F) ... 4.78 states/eV/cell
Crystal system ... tetragonal


# 18
Here is a geometry-optimized Be2CuPb structure from Alexandria. Energies are from PBE-GGA.

Unit cell a=4.6415 b=5.2718 c=3.3349 alpha=66.38 beta=101.05 gamma=120.05
Element x y z (fractional)
Cu 0.0000 0.5000 0.5000
Pb 0.5000 0.5000 0.0000
Be 0.0000 0.0000 0.0000
Be 0.5000 0.0000 0.5000

Calculated values
ΔH_f (0 K) ... 0.674 eV/atom
V ... 64.71 Å³ per cell
Raw total energy ... -3.140 eV/atom
D(E_F) ... 0.94 states/eV/cell
Crystal system ... monoclinic


# 19
Here is a geometry-optimized YTeSeN2 structure from Alexandria. Energies are from PBE-GGA.

Unit cell a=4.1748 b=4.1748 c=5.3618 alpha=90.00 beta=90.00 gamma=90.00
Element x y z (fractional)
Y 0.5000 0.5000 0.5000
Se 0.0000 0.0000 0.0000
Te 0.0000 0.0000 0.5000
N 0.0000 0.5000 0.0000
N 0.5000 0.0000 0.0000

Calculated values
V ... 93.45 Å³ per cell
Raw total energy ... -5.028 eV/atom
D(E_F) ... 2.71 states/eV/cell
Crystal system ... tetragonal
Offset from the most stable computed form ... 451 meV per atom


# 20
Here is a geometry-optimized BaOsPb3 structure from Alexandria. Energies are from PBE-GGA.

Unit cell a=5.4197 b=5.4197 c=5.4197 alpha=90.00 beta=90.00 gamma=90.00
Element x y z (fractional)
Pb 0.0000 0.5000 0.0000
Pb 0.5000 0.0000 0.0000
Pb 0.0000 0.0000 0.5000
Ba 0.5000 0.5000 0.5000
Os 0.0000 0.0000 0.0000

Calculated values
ΔH_f (0 K) ... 0.280 eV/atom
V ... 159.19 Å³ per cell
Raw total energy ... -4.576 eV/atom
D(E_F) ... 6.13 states/eV/cell
Crystal system ... cubic


# 21
Here is a geometry-optimized NbCrIn3 structure from Alexandria. Energies are from PBE-GGA.

Unit cell a=5.3281 b=5.3281 c=5.3281 alpha=90.00 beta=90.00 gamma=90.00
Element x y z (fractional)
Nb 0.0000 0.0000 0.0000
Cr 0.5000 0.5000 0.5000
In 0.5000 0.0000 0.0000
In 0.0000 0.0000 0.5000
In 0.0000 0.5000 0.0000

Calculated values
ΔH_f (0 K) ... 1.456 eV/atom
V ... 151.26 Å³ per cell
Raw total energy ... -4.125 eV/atom
D(E_F) ... 3.52 states/eV/cell
Crystal system ... cubic
Offset from the most stable computed form ... 418 meV per atom


# 22
Here is a geometry-optimized MgSICl2 structure from Alexandria. Energies are from PBE-GGA.

Unit cell a=4.5664 b=6.4592 c=4.5664 alpha=90.00 beta=90.00 gamma=90.00
Element x y z (fractional)
I 0.5000 0.5000 0.5000
Cl 0.0000 0.0000 0.5000
Cl 0.5000 0.0000 0.0000
S 0.0000 0.5000 0.0000
Mg 0.0000 0.0000 0.0000

Calculated values
V ... 134.69 Å³ per cell
Raw total energy ... -2.700 eV/atom
D(E_F) ... 3.07 states/eV/cell
Crystal system ... tetragonal
Offset from the most stable computed form ... 0 meV per atom


# 23
Here is a geometry-optimized Nd2CdP3Pt12 structure from Alexandria. Energies are from PBE-GGA.

Unit cell a=7.6598 b=7.6598 c=7.6598 alpha=65.77 beta=65.77 gamma=65.77
Element x y z (fractional)
Pt 0.8643 0.8643 0.3885
Pt 0.6115 0.1357 0.1357
Pt 0.8643 0.3885 0.8643
Pt 0.3410 0.8981 0.3410
Pt 0.1019 0.6590 0.6590
Pt 0.8981 0.3410 0.3410
Pt 0.1357 0.1357 0.6115
Pt 0.1357 0.6115 0.1357
Pt 0.6590 0.1019 0.6590
Pt 0.6590 0.6590 0.1019
Pt 0.3410 0.3410 0.8981
Pt 0.3885 0.8643 0.8643
Nd 0.3948 0.3948 0.3948
Nd 0.6052 0.6052 0.6052
P 0.5000 0.0000 0.0000
P 0.0000 0.0000 0.5000
P 0.0000 0.5000 0.0000
Cd 0.0000 0.0000 0.0000

Calculated values
ΔH_f (0 K) ... -0.385 eV/atom
V ... 357.58 Å³ per cell
Raw total energy ... -5.895 eV/atom
D(E_F) ... 6.42 states/eV/cell
Crystal system ... trigonal


# 24
Here is a geometry-optimized Ca2BeSb structure from Alexandria. Energies are from PBE-GGA.

Unit cell a=5.4216 b=5.4216 c=10.0744 alpha=74.39 beta=74.39 gamma=90.00
Element x y z (fractional)
Ca 0.3750 0.3914 0.7500
Ca 0.8750 0.8586 0.7500
Ca 0.1414 0.6250 0.2500
Ca 0.6086 0.1250 0.2500
Be 0.2500 0.7500 0.5000
Be 0.5000 0.5000 0.0000
Sb 0.7500 0.2500 0.5000
Sb 0.0000 0.0000 0.0000

Calculated values
V ... 273.85 Å³ per cell
Raw total energy ... -2.680 eV/atom
D(E_F) ... 2.78 states/eV/cell
Crystal system ... tetragonal
Offset from the most stable computed form ... 698 meV per atom


# 25
Here is a geometry-optimized Ce3Dy4YS8 structure from Alexandria. Energies are from PBE-GGA.

Unit cell a=7.8855 b=7.9175 c=7.8854 alpha=119.86 beta=120.00 gamma=90.00
Element x y z (fractional)
Dy 0.5000 0.0000 0.5000
Dy 0.5000 0.0000 0.0000
Dy 0.0000 0.0000 0.5000
Dy 0.0000 0.0000 0.0000
Ce 0.5000 0.5000 0.0000
Ce 0.0000 0.5000 0.5000
Ce 0.5000 0.5000 0.5000
S 0.2433 0.2423 0.9928
S 0.2505 0.7577 0.0072
S 0.7538 0.7614 0.5076
S 0.7495 0.2423 0.4990
S 0.7495 0.2423 0.9928
S 0.2505 0.7577 0.5010
S 0.2462 0.2386 0.4924
S 0.7567 0.7577 0.0072
Y 0.0000 0.5000 0.0000

Calculated values
V ... 348.83 Å³ per cell
Raw total energy ... -6.752 eV/atom
D(E_F) ... 17.64 states/eV/cell
Crystal system ... trigonal